Record 1
The following is a PBE calculation of NaSrSiAs2 after structural relaxation, from the Alexandria database.

Lattice parameters (Å, degrees): 7.2843 7.2843 6.0309 90.00 90.00 130.12
Closest atoms and distances in Å follow each position.
Sites, in units of the cell vectors:
Na: 0.2500 0.2500 0.0000  4 As 2.96, 2 Na 3.07
Na: 0.7500 0.7500 0.0000  4 As 2.96, 2 Na 3.07
Sr: 0.2500 0.7500 0.7472  8 As 3.21-3.38
Sr: 0.7500 0.2500 0.2528  8 As 3.21-3.38
Si: 0.0000 0.0000 0.5000  2 As 2.44
Si: 0.5000 0.5000 0.5000  2 As 2.44
As: 0.1494 0.8506 0.2626  1 Si 2.44, 1 As 2.66
As: 0.3506 0.6494 0.2626  1 Si 2.44, 1 As 2.66
As: 0.6494 0.3506 0.7374  1 Si 2.44, 1 As 2.66
As: 0.8506 0.1494 0.7374  1 Si 2.44, 1 As 2.66

Summary:
**Total magnetic moment**: 0.00 μB per formula unit
**Theoretical density**: 3916 kg/m³

=====

Record 2
The following is a PBE calculation of Na2SiTe4As after structural relaxation, from the Alexandria database.

Lattice parameters (Å, degrees): 8.5888 8.5888 8.5888 121.72 118.63 89.72
Closest atoms and distances in Å follow each position.
Sites, in units of the cell vectors:
Na: 0.0000 0.0000 0.0000  6 Te 3.13-3.16
Na: 0.5000 0.0000 0.0000  6 Te 3.21-3.22
Na: 0.5000 0.0000 0.5000  6 Te 3.13-3.16
Na: 0.5000 0.5000 0.5000  6 Te 3.21-3.22
Si: 0.0000 0.0000 0.5000  6 Te 2.86-2.87
Si: 0.0000 0.5000 0.0000  6 Te 2.86-2.87
Te: 0.2135 0.7417 0.4718  2 Si 2.86, 1 As 2.95, 1 Na 3.16
Te: 0.2302 0.2583 0.9718  2 Si 2.86, 1 As 2.95, 1 Na 3.16
Te: 0.2358 0.2517 0.5159  1 Si 2.87, 2 As 2.94, 2 Na 3.13
Te: 0.2358 0.7198 0.9841  1 Si 2.87, 2 As 2.94, 2 Na 3.13
Te: 0.7642 0.2802 0.0159  1 Si 2.87, 2 As 2.94, 2 Na 3.13
Te: 0.7642 0.7483 0.4841  1 Si 2.87, 2 As 2.94, 2 Na 3.13
Te: 0.7698 0.7417 0.0282  2 Si 2.86, 1 As 2.95, 1 Na 3.16
Te: 0.7865 0.2583 0.5282  2 Si 2.86, 1 As 2.95, 1 Na 3.16
As: 0.0000 0.5000 0.5000  6 Te 2.94-2.95
As: 0.5000 0.5000 0.0000  6 Te 2.94-2.95

Summary:
**Total magnetic moment**: 0.00 μB per formula unit
**Theoretical density**: 4906 kg/m³

=====

Record 3
The following is a PBE calculation of NaY2SiAs after structural relaxation, from the Alexandria database.

Lattice parameters (Å, degrees): 5.4343 5.4343 5.0405 90.00 90.00 90.00
Closest atoms and distances in Å follow each position.
Sites, in units of the cell vectors:
Na: 0.0000 0.0000 0.0000  8 Y 3.71, 4 Si 3.84
Y: 0.0000 0.5000 0.5000  2 As 2.72
Y: 0.5000 0.0000 0.5000  2 As 2.72
Si: 0.5000 0.5000 0.0000  2 As 2.52
As: 0.5000 0.5000 0.5000  2 Si 2.52, 4 Y 2.72

Summary:
**Total magnetic moment**: 0.00 μB per formula unit
**Theoretical density**: 3389 kg/m³

=====

no.,formation energy from raw total energies (eV/atom)
1,-0.332
2,-0.275
3,-0.005